First-principles (PBE+U) data for an optimized crystal structure of RbErFeO3, as listed in the Alexandria database.

CIF file:
```
data_RbErFeO3
_symmetry_space_group_name_H-M 'P 1 21/m 1'
_symmetry_Int_Tables_number 11
_cell_length_a 7.5571
_cell_length_b 3.6283
_cell_length_c 9.4771
_cell_angle_alpha 90.00
_cell_angle_beta 112.58
_cell_angle_gamma 90.00
loop_
_symmetry_equiv_pos_as_xyz
'x,y,z'
'-x,-y,-z'
'-x,y+1/2,-z'
'x,-y+1/2,z'
loop_
_atom_site_label
_atom_site_type_symbol
_atom_site_fract_x
_atom_site_fract_y
_atom_site_fract_z
Rb1 Rb 0.0311 0.2500 0.3195
Er1 Er 0.4566 0.7500 0.6336
Fe1 Fe 0.4029 0.2500 0.8756
O1 O 0.2707 0.2500 0.6504
O2 O 0.3604 0.7500 0.3837
O3 O 0.4808 0.7500 0.8885
```

Summary:
The value obtained for the spin magnetization is 0.33 μB/atom. Its theoretical density is 4.94 g/cm³. For the energy, the calculation gives -75.8 eV per cell.